1.
BaY2Br meta-GGA SCAN PBEsol geometry; relative energy among the computed polymorphs = 2.09 eV/f.u.; formation energy from raw total energies = 87 meV per atom
1.0
0.000 4.036 4.036
4.036 0.000 4.036
4.036 4.036 0.000
Ba Y Br
1 2 1
Direct
0.000 0.000 0.000 Ba
0.250 0.250 0.250 Y
0.500 0.500 0.500 Y
0.750 0.750 0.750 Br

=====

2.
BaYBr meta-GGA SCAN PBEsol geometry; formation energy from raw total energies = -760 meV per atom
1.0
0.000 3.142 7.788
2.059 0.000 7.788
2.059 3.142 0.000
Ba Y Br
1 1 1
Direct
0.000 0.000 0.000 Ba
0.692 0.692 0.308 Y
0.329 0.329 0.671 Br

=====

3.
BaZrBr4 meta-GGA SCAN PBEsol geometry; formation energy from raw total energies = -246 meV per atom
1.0
0.000 4.461 4.461
4.461 0.000 4.461
4.461 4.461 0.000
Ba Zr Br
1 1 4
Direct
0.000 0.000 0.000 Ba
0.250 0.250 0.250 Zr
0.127 0.624 0.624 Br
0.624 0.127 0.624 Br
0.624 0.624 0.127 Br
0.624 0.624 0.624 Br

=====

4.
BaC2 meta-GGA SCAN PBEsol geometry; total energy = -17.34 eV per atom
1.0
2.905 0.000 0.000
0.000 2.905 0.000
0.000 0.000 5.030
Ba C
1 2
Direct
0.000 0.000 0.000 Ba
0.000 0.500 0.500 C
0.500 0.000 0.500 C